Entry from Alexandria via LeMat-Bulk: crystalline PuMnAl2O8 at its relaxed geometry (PBE with a Hubbard U).

```
PuMnAl2O8
1.0
4.589 -0.062 -0.003
-0.031 4.590 -0.005
0.004 0.007 6.038
Pu Mn Al O
1 1 2 8
Cartesian
0.000 0.000 0.000
0.002 0.004 3.019
2.282 2.269 4.423
2.280 2.266 1.607
0.897 3.660 1.576
3.105 3.087 6.032
3.664 0.872 1.578
3.665 0.876 4.454
1.457 1.448 -0.003
0.899 3.663 4.452
3.168 3.148 3.013
1.394 1.387 3.016
```

Computed properties:
Space group: Cmmm
Calculated total energy (eV for the cell shown): -97.0
Magnetization (μB/f.u.): 5.0